No. 1
# PBEsol CoReBr2, optimized geometry
# V ... 62.1 Å³/cell
# E ... -5.258 eV/atom
# Spin magnetization ... 0.8 Bohr magnetons per cell
# ΔE_f (raw) ... 3.78 eV/f.u.
data_CoReBr2
_chemical_formula_sum 'Co1 Re1 Br2'
_cell_length_a 3.046
_cell_length_b 3.046
_cell_length_c 7.931
_cell_angle_alpha 78.93
_cell_angle_beta 78.93
_cell_angle_gamma 60.00
_space_group_name_H-M_alt 'P 1'
_space_group_IT_number 1
loop_
_space_group_symop_operation_xyz
'x,y,z'
loop_
_atom_site_label
_atom_site_type_symbol
_atom_site_fract_x
_atom_site_fract_y
_atom_site_fract_z
Co1 Co 0.500 0.500 0.500
Re1 Re 0.000 0.000 0.000
Br1 Br 0.245 0.245 0.265
Br2 Br 0.755 0.755 0.735

No. 2
# PBEsol Li2Cr3O6, optimized geometry
# V ... 200.2 Å³/cell
# E ... -7.980 eV/atom
# Spin magnetization ... 16.0 Bohr magnetons per cell
# ΔE_f (raw) ... -21.63 eV/f.u.
data_Li2Cr3O6
_chemical_formula_sum 'Li4 Cr6 O12'
_cell_length_a 5.232
_cell_length_b 5.232
_cell_length_c 8.643
_cell_angle_alpha 99.56
_cell_angle_beta 99.56
_cell_angle_gamma 116.82
_space_group_name_H-M_alt 'P 1'
_space_group_IT_number 1
loop_
_space_group_symop_operation_xyz
'x,y,z'
loop_
_atom_site_label
_atom_site_type_symbol
_atom_site_fract_x
_atom_site_fract_y
_atom_site_fract_z
Li1 Li 0.330 0.330 0.660
O1 O 0.202 0.142 0.828
Li2 Li 0.670 0.670 0.340
O2 O 0.858 0.798 0.172
Cr1 Cr 0.500 0.500 0.000
Cr2 Cr 0.414 0.914 0.828
O3 O 0.313 0.374 0.172
O4 O 0.969 0.031 0.500
Li3 Li 0.580 0.080 0.160
Li4 Li 0.920 0.420 0.840
Cr3 Cr 0.836 0.836 0.672
O5 O 0.531 0.469 0.500
Cr4 Cr 0.086 0.586 0.172
O6 O 0.624 0.063 0.672
Cr5 Cr 0.750 0.250 0.500
O7 O 0.719 0.281 0.000
O8 O 0.937 0.376 0.328
O9 O 0.392 0.952 0.328
Cr6 Cr 0.164 0.164 0.328
O10 O 0.281 0.719 0.000
O11 O 0.048 0.608 0.672
O12 O 0.626 0.687 0.828

No. 3
# PBEsol SrBe2Si2, optimized geometry
# V ... 79.2 Å³/cell
# E ... -4.501 eV/atom
# Spin magnetization ... 0.0 Bohr magnetons per cell
# ΔE_f (raw) ... -1.17 eV/f.u.
data_SrBe2Si2
_chemical_formula_sum 'Sr1 Be2 Si2'
_cell_length_a 4.055
_cell_length_b 4.055
_cell_length_c 5.605
_cell_angle_alpha 111.20
_cell_angle_beta 111.20
_cell_angle_gamma 90.00
_space_group_name_H-M_alt 'P 1'
_space_group_IT_number 1
loop_
_space_group_symop_operation_xyz
'x,y,z'
loop_
_atom_site_label
_atom_site_type_symbol
_atom_site_fract_x
_atom_site_fract_y
_atom_site_fract_z
Si1 Si 0.627 0.627 0.253
Si2 Si 0.373 0.373 0.747
Be1 Be 0.750 0.250 0.500
Sr1 Sr 0.000 0.000 0.000
Be2 Be 0.250 0.750 0.500

No. 4
# PBEsol YSnSb2Te, optimized geometry
# V ... 182.3 Å³/cell
# E ... -4.499 eV/atom
# Spin magnetization ... 0.0 Bohr magnetons per cell
# ΔE_f (raw) ... 1.23 eV/f.u.
data_YSnSb2Te
_chemical_formula_sum 'Y1 Sn1 Sb2 Te1'
_cell_length_a 5.679
_cell_length_b 5.679
_cell_length_c 5.651
_cell_angle_alpha 90.00
_cell_angle_beta 90.00
_cell_angle_gamma 90.00
_space_group_name_H-M_alt 'P 1'
_space_group_IT_number 1
loop_
_space_group_symop_operation_xyz
'x,y,z'
loop_
_atom_site_label
_atom_site_type_symbol
_atom_site_fract_x
_atom_site_fract_y
_atom_site_fract_z
Sb1 Sb 0.500 0.000 0.000
Te1 Te 0.000 0.000 0.500
Y1 Y 0.000 0.000 0.000
Sb2 Sb 0.000 0.500 0.000
Sn1 Sn 0.500 0.500 0.500